This record from Alexandria via LeMat-Bulk describes crystalline Rb2BaCl4 at its relaxed geometry. The functional is PBE.

Geometry as extended XYZ:
```
28
Lattice="9.6067 0.0000 0.0000 0.0000 9.6067 0.0000 0.0000 0.0000 13.4298" Properties=species:S:1:pos:R:3 pbc="T T T"
Rb 0.0000 2.4041 0.0000
Rb 0.0000 7.2026 6.7149
Rb 2.4041 0.0000 10.0724
Rb 2.4133 2.4133 5.0362
Rb 2.4133 7.1934 1.6787
Rb 7.1934 2.4133 8.3936
Rb 7.1934 7.1934 11.7511
Rb 7.2026 0.0000 3.3575
Ba 2.4151 4.8034 10.0724
Ba 4.8034 2.4151 0.0000
Ba 4.8034 7.1916 6.7149
Ba 7.1916 4.8034 3.3575
Cl 0.3103 2.5727 10.1137
Cl 0.3103 7.0340 10.0310
Cl 2.5644 4.5856 13.1691
Cl 2.5644 5.0211 6.9756
Cl 2.5727 0.3103 13.3885
Cl 2.5727 9.2964 6.7563
Cl 4.5856 2.5644 10.3330
Cl 4.5856 7.0423 9.8117
Cl 5.0211 2.5644 3.0968
Cl 5.0211 7.0423 3.6181
Cl 7.0340 0.3103 0.0414
Cl 7.0340 9.2964 6.6735
Cl 7.0423 4.5856 0.2607
Cl 7.0423 5.0211 6.4542
Cl 9.2964 2.5727 3.3161
Cl 9.2964 7.0340 3.3988
```

Results
The calculation puts the total energy at -3.78 eV/atom. As for the total magnetization: 0.984 μB/cell.

---

This record from Alexandria via LeMat-Bulk describes crystalline Rb2BaCl4 at its relaxed geometry. The functional is PBE.

Geometry as extended XYZ:
```
7
Lattice="7.7943 -2.2326 0.0000 7.7943 2.2326 0.0000 -5.0915 0.0000 7.7993" Properties=species:S:1:pos:R:3 pbc="T T T"
Rb 1.2323 0.0000 1.4809
Rb 9.2647 0.0000 6.3184
Ba 5.2485 0.0000 3.8996
Cl -0.4573 0.0000 4.5508
Cl 6.3885 0.0000 1.0992
Cl 4.1085 0.0000 6.7001
Cl 10.9543 0.0000 3.2485
```

Results
The calculation puts the total energy at -3.76 eV/atom. As for the total magnetization: 0.000 μB/cell.

---

This record from Alexandria via LeMat-Bulk describes crystalline Rb5Ba3Cl12 at its relaxed geometry. The functional is PBE.

Geometry as extended XYZ:
```
80
Lattice="-9.2801 9.2801 9.2801 9.2801 -9.2801 9.2801 9.2801 9.2801 -9.2801" Properties=species:S:1:pos:R:3 pbc="T T T"
Rb 0.0000 0.0000 0.0000
Rb 4.6401 4.6401 -4.6401
Rb 4.6401 -4.6401 4.6401
Rb 9.2801 0.0000 0.0000
Rb 13.9202 2.3200 0.0000
Rb 9.2801 -4.6401 6.9601
Rb 6.9601 9.2801 -4.6401
Rb 6.9601 0.0000 4.6401
Rb 4.6401 6.9601 0.0000
Rb 9.2801 4.6401 2.3200
Rb -4.6401 4.6401 4.6401
Rb 0.0000 9.2801 0.0000
Rb 0.0000 0.0000 9.2801
Rb 4.6401 4.6401 4.6401
Rb 0.0000 4.6401 6.9601
Rb 4.6401 2.3200 9.2801
Rb 2.3200 9.2801 4.6401
Rb 2.3200 0.0000 13.9202
Rb 0.0000 13.9202 2.3200
Rb -4.6401 6.9601 9.2801
Ba 4.6401 2.3200 0.0000
Ba 9.2801 4.6401 -2.3200
Ba 2.3200 0.0000 4.6401
Ba 11.6001 0.0000 4.6401
Ba 0.0000 4.6401 2.3200
Ba 4.6401 -2.3200 9.2801
Ba 4.6401 11.6001 0.0000
Ba 9.2801 4.6401 6.9601
Ba -2.3200 9.2801 4.6401
Ba 6.9601 9.2801 4.6401
Ba 0.0000 4.6401 11.6001
Ba 4.6401 6.9601 9.2801
Cl 2.8901 -0.2679 1.4849
Cl 11.0300 6.1250 -4.9080
Cl 9.0122 -1.4849 2.8901
Cl 14.1881 -1.7499 3.1551
Cl 12.1702 0.2679 1.4849
Cl 11.0300 -3.1551 4.9080
Cl 1.4849 2.8901 -0.2679
Cl 12.4352 4.3721 -1.7499
Cl 6.1250 4.9080 -1.7499
Cl 7.7952 2.8901 0.2679
Cl -0.2679 1.4849 2.8901
Cl 4.9080 -1.7499 6.1250
Cl 9.0122 7.7952 -2.8901
Cl 4.9080 1.7499 3.1551
Cl 7.7952 -2.8901 9.0122
Cl 6.1250 -4.9080 11.0300
Cl 3.1551 4.9080 1.7499
Cl 10.7650 6.3900 0.2679
Cl 2.8901 9.0122 -1.4849
Cl 11.0300 3.1551 4.3721
Cl 4.9080 11.0300 -3.1551
Cl 9.0122 1.4849 6.3900
Cl 1.7499 3.1551 4.9080
Cl 2.8901 0.2679 7.7952
Cl 6.3900 9.0122 1.4849
Cl 7.5302 6.1250 4.3721
Cl 0.2679 7.7952 2.8901
Cl 4.3721 -1.7499 12.4352
Cl -1.7499 6.1250 4.9080
Cl 6.3900 0.2679 10.7650
Cl -1.4849 2.8901 9.0122
Cl 6.1250 4.3721 7.5302
Cl 3.1551 14.1881 -1.7499
Cl 1.4849 12.1702 0.2679
Cl 4.3721 7.5302 6.1250
Cl 0.2679 1.4849 12.1702
Cl 4.3721 11.0300 3.1551
Cl 9.5480 7.7952 6.3900
Cl 1.4849 6.3900 9.0122
Cl 3.1551 4.3721 11.0300
Cl -3.1551 4.9080 11.0300
Cl 7.7952 6.3900 9.5480
Cl -1.7499 12.4352 4.3721
Cl -2.8901 9.0122 7.7952
Cl -4.9080 11.0300 6.1250
Cl 0.2679 10.7650 6.3900
Cl -1.7499 3.1551 14.1881
Cl 6.3900 9.5480 7.7952
```

Results
The calculation puts the total energy at -3.61 eV/atom. As for the total magnetization: 5.615 μB/cell.

---

This record from Alexandria via LeMat-Bulk describes crystalline RbBa3Cl at its relaxed geometry. The functional is PBE.

Geometry as extended XYZ:
```
5
Lattice="6.5660 0.0000 0.0000 0.0000 6.5660 0.0000 0.0000 0.0000 6.5660" Properties=species:S:1:pos:R:3 pbc="T T T"
Rb 0.0000 0.0000 0.0000
Ba 0.0000 3.2830 3.2830
Ba 3.2830 0.0000 3.2830
Ba 3.2830 3.2830 0.0000
Cl 3.2830 3.2830 3.2830
```

Results
The calculation puts the total energy at -2.27 eV/atom. As for the total magnetization: 1.637 μB/cell.

---

This record from Alexandria via LeMat-Bulk describes crystalline Rb2Ba3Cl8 at its relaxed geometry. The functional is PBE.

Geometry as extended XYZ:
```
13
Lattice="5.7133 -8.0269 0.0000 5.7133 8.0269 0.0000 0.0000 0.0000 5.2305" Properties=species:S:1:pos:R:3 pbc="T T T"
Rb 5.7133 4.2206 0.0000
Rb 5.7133 -4.2206 0.0000
Ba 2.4180 0.0000 2.6153
Ba 5.7133 0.0000 0.0000
Ba 9.0085 0.0000 2.6153
Cl 5.7133 6.1655 2.6153
Cl 3.0508 1.7618 0.0000
Cl 3.0508 -1.7618 0.0000
Cl 5.7133 1.7399 2.6153
Cl 5.7133 -1.7399 2.6153
Cl 8.3758 1.7618 0.0000
Cl 8.3758 -1.7618 0.0000
Cl 5.7133 -6.1655 2.6153
```

Results
The calculation puts the total energy at -4.03 eV/atom. As for the total magnetization: 0.000 μB/cell.

---

This record from Alexandria via LeMat-Bulk describes crystalline RbBa4Cl8 at its relaxed geometry. The functional is PBE.

Geometry as extended XYZ:
```
13
Lattice="7.5463 0.0000 0.0000 0.0000 7.5463 0.0000 0.0000 0.0000 7.5463" Properties=species:S:1:pos:R:3 pbc="T T T"
Rb 0.0000 0.0000 0.0000
Ba 0.0000 0.0000 3.7732
Ba 0.0000 3.7732 0.0000
Ba 3.7732 0.0000 0.0000
Ba 3.7732 3.7732 3.7732
Cl 1.8710 1.8710 1.8710
Cl 1.8710 1.8710 5.6753
Cl 1.8710 5.6753 1.8710
Cl 1.8710 5.6753 5.6753
Cl 5.6753 1.8710 1.8710
Cl 5.6753 1.8710 5.6753
Cl 5.6753 5.6753 1.8710
Cl 5.6753 5.6753 5.6753
```

Results
The calculation puts the total energy at -4.04 eV/atom. As for the total magnetization: 0.005 μB/cell.

---

Asked for volume across the records above, the calculation gives 1239.4, 271.4, 3196.8, 283.1, 479.7, 429.7 Å³/cell in order.